(1)
First-principles (PBE) data for a relaxed structure of TiP, as listed in Alexandria.

ΔH_f (0 K) ... -0.90 eV/atom

Structure (extended XYZ):
```
4
Lattice="-2.649 -0.449 -3.265 1.083 -3.363 2.322 -3.790 0.824 2.961" Properties=species:S:1:pos:R:3 pbc="T T T"
Ti -3.004 -1.774 2.681
Ti -2.352 -1.214 -0.662
P -1.109 -2.186 1.200
P -4.247 -0.802 0.818
```

(2)
First-principles (PBE) data for a relaxed structure of KRbCu2Br5, as listed in Alexandria.

Energy relative to the elements, uncorrected ... -929 meV per atom

Structure (extended XYZ):
```
9
Lattice="-4.350 -2.272 -1.143 2.380 -2.837 -3.418 1.889 -7.347 7.415" Properties=species:S:1:pos:R:3 pbc="T T T"
K 0.000 0.000 0.000
Rb 0.945 -3.673 3.707
Cu -0.505 -4.421 -0.397
Cu 0.424 -8.035 3.251
Br 1.592 -2.982 -0.131
Br -1.773 -2.699 1.006
Br 2.677 -7.202 4.128
Br -0.688 -6.919 5.265
Br -0.041 -6.228 1.427
```

(3)
First-principles (PBE) data for a relaxed structure of Y12MgCo6, as listed in Alexandria.

ΔH_f (0 K) ... -0.18 eV/atom

Structure (extended XYZ):
```
19
Lattice="7.958 0.000 -2.813 -3.979 6.892 -2.813 0.000 0.000 8.440" Properties=species:S:1:pos:R:3 pbc="T T T"
Y 1.987 0.760 5.630
Y 0.439 3.442 -0.621
Y 3.540 3.449 3.434
Y 1.991 6.131 -2.816
Y -2.327 5.551 -0.003
Y 3.201 1.341 0.621
Y 0.778 5.551 2.193
Y 6.305 1.341 2.816
Y 5.196 2.101 -2.193
Y 0.335 2.101 2.811
Y 3.644 4.790 0.003
Y -1.217 4.790 5.006
Mg 0.000 0.000 0.000
Co 1.098 3.446 4.997
Co 2.881 3.446 -2.183
Co 0.446 6.120 -0.630
Co 3.533 0.772 3.444
Co 5.523 2.674 0.630
Co -1.544 4.217 2.183
```

(4)
First-principles (PBE) data for a relaxed structure of LiRhN2F, as listed in Alexandria.

Energy relative to the elements, uncorrected ... 134 meV per atom
Distance to the lowest polymorph of the same formula ... 0.000 eV per atom

Structure (extended XYZ):
```
5
Lattice="3.729 0.000 0.000 0.000 3.729 0.000 0.000 0.000 5.095" Properties=species:S:1:pos:R:3 pbc="T T T"
N 0.000 1.865 0.000
N 1.865 0.000 0.000
Rh 0.000 0.000 0.000
Li 1.865 1.865 2.547
F 0.000 0.000 2.547
```

For reference, size of the total moment by record: 0.0, 0.0, 0.0, 0.0 μB per formula unit.